A plane-wave DFT calculation with PBE+U was carried out for TlV2InO6 after structural relaxation.

Output
Raw total energy in eV per atom: -6.55

abc: 8.0031 8.0031 6.0404
angles: 99.56 99.56 85.87
Last column: nearest neighbours and their distance in Å.
Fractional coordinates of all 20 atoms:
Tl1 0.1383 0.8617 0.7500  4 O 2.62-2.80
Tl2 0.8617 0.1383 0.2500  4 O 2.62-2.80
V1 0.1528 0.3394 0.7594  4 O 1.68-1.82
V2 0.3394 0.1528 0.2594  4 O 1.68-1.82
V3 0.6606 0.8472 0.7406  4 O 1.68-1.82
V4 0.8472 0.6606 0.2406  4 O 1.68-1.82
In1 0.3548 0.6452 0.2500  4 O 2.44-2.69
In2 0.6452 0.3548 0.7500  4 O 2.44-2.69
O1 0.0586 0.6884 0.3061  1 V 1.69
O2 0.1904 0.5473 0.8265  1 V 1.68
O3 0.2407 0.2431 0.0087  2 V 1.82
O4 0.2431 0.2407 0.5087  2 V 1.82
O5 0.3116 0.9414 0.1939  1 V 1.69
O6 0.4527 0.8096 0.6735  1 V 1.68
O7 0.5473 0.1904 0.3265  1 V 1.68
O8 0.6884 0.0586 0.8061  1 V 1.69
O9 0.7569 0.7593 0.4913  2 V 1.82
O10 0.7593 0.7569 0.9913  2 V 1.82
O11 0.8096 0.4527 0.1735  1 V 1.68
O12 0.9414 0.3116 0.6939  1 V 1.69